# 1
## NbOF2 (GGA-PBE)

Data for NbOF2 after structural relaxation.

Uncorrected formation energy (eV per atom): -0.741

Cell: 8.7085 8.7085 8.7085 Å, 18.51 18.51 18.51°
Fractional positions:
F: 0.8912 0.8912 0.8912
F: 0.1088 0.1088 0.1088
Nb: 0.5000 0.5000 0.5000
O: 0.0000 0.0000 0.0000


# 2
## HoSc2C2 (GGA-PBE)

Data for HoSc2C2 after structural relaxation.

Formation enthalpy at 0 K (meV per atom): -397

Cell: 3.5035 4.6334 6.1186 Å, 112.25 106.64 90.00°
Fractional positions:
Sc: 0.3041 0.3041 0.6083
Sc: 0.6959 0.6959 0.3917
Ho: 0.0000 0.0000 0.0000
C: 0.3332 0.8332 0.6664
C: 0.6668 0.1668 0.3336


# 3
## ScPW (GGA-PBE)

Data for ScPW after structural relaxation.

Formation enthalpy at 0 K (meV per atom): -319
Distance to the lowest polymorph of the same formula (eV/atom): 0.128

Cell: 3.3679 8.4879 7.9892 Å, 89.66 102.17 90.00°
Fractional positions:
Sc: 0.4580 0.1605 0.9159
Sc: 0.5420 0.8395 0.0841
Sc: 0.9069 0.6252 0.8138
Sc: 0.0931 0.3748 0.1862
W: 0.7398 0.8780 0.4797
W: 0.2555 0.6305 0.5109
W: 0.7445 0.3695 0.4891
W: 0.2602 0.1220 0.5203
P: 0.3561 0.3901 0.7122
P: 0.6439 0.6099 0.2878
P: 0.3612 0.8778 0.7224
P: 0.6388 0.1222 0.2776


# 4
## CoTeP2 (GGA-PBE)

Data for CoTeP2 after structural relaxation.

Uncorrected formation energy (eV per atom): 0.094

Cell: 3.8656 3.8656 5.9875 Å, 77.80 77.80 55.26°
Fractional positions:
Co: 0.2520 0.2520 0.1803
P: 0.9577 0.9577 0.0642
P: 0.8045 0.8045 0.7956
Te: 0.4858 0.4858 0.4598


no.,energy (eV per cell)
1,-21.7
2,-37.7
3,-102.6
4,-20.7